No. 1
Material: NdMg12Tl4
Method: DFT, PBE-GGA
State: relaxed

a b c (Å): 8.6152 8.6152 8.6152
angles (deg): 109.47 109.47 109.47
Positions (direct):
Nd: 0.0000 0.0000 0.0000
Mg: 0.8458 0.3441 0.1899
Mg: 0.3441 0.4984 0.1542
Mg: 0.8101 0.1542 0.6559
Mg: 0.3441 0.1899 0.8458
Mg: 0.1899 0.8458 0.3441
Mg: 0.6559 0.5016 0.8458
Mg: 0.4984 0.1542 0.3441
Mg: 0.5016 0.8458 0.6559
Mg: 0.6559 0.8101 0.1542
Mg: 0.8458 0.6559 0.5016
Mg: 0.1542 0.3441 0.4984
Mg: 0.1542 0.6559 0.8101
Tl: 0.0000 0.5000 0.0000
Tl: 0.5000 0.0000 0.0000
Tl: 0.5000 0.5000 0.5000
Tl: 0.0000 0.0000 0.5000

Output
- total moment (μB/atom) = 0.00
- DOS at the Fermi energy (states/eV/atom) = 0.707
- energy (eV/cell) = -29.1

No. 2
Material: SrLiInRh
Method: DFT, PBE-GGA
State: relaxed

a b c (Å): 4.6487 4.6453 5.8851
angles (deg): 113.51 90.00 120.02
Positions (direct):
Sr: 0.6210 0.2420 0.5060
Li: 0.8167 0.6335 0.0918
In: 0.1060 0.2119 0.9599
Rh: 0.4226 0.8452 0.9096

Output
- energy relative to the lowest polymorph listed for this composition (meV/atom) = 0.0
- total moment (μB/atom) = 0.00
- DOS at the Fermi energy (states/eV/atom) = 0.546
- energy (eV/cell) = -15.2

No. 3
Material: La3TbTh4Se8
Method: DFT, PBE-GGA
State: relaxed

a b c (Å): 8.3666 8.5503 8.3638
angles (deg): 119.26 120.01 90.00
Positions (direct):
La: 0.5000 0.5000 0.0000
La: 0.5000 0.5000 0.5000
La: 0.0000 0.5000 0.5000
Tb: 0.0000 0.5000 0.0000
Th: 0.5000 0.0000 0.0000
Th: 0.5000 0.0000 0.5000
Th: 0.0000 0.0000 0.0000
Th: 0.0000 0.0000 0.5000
Se: 0.2454 0.7479 0.0025
Se: 0.2454 0.7479 0.4908
Se: 0.2489 0.2466 0.4978
Se: 0.7571 0.7479 0.0025
Se: 0.2429 0.2521 0.9975
Se: 0.7511 0.7534 0.5022
Se: 0.7546 0.2521 0.5092
Se: 0.7546 0.2521 0.9975

Output
- uncorrected formation energy (eV/atom) = -1.7350
- total moment (μB/atom) = 0.00
- DOS at the Fermi energy (states/eV/atom) = 0.366
- energy (eV/cell) = -104.7

Copy entry 3 word for word.
Material: La3TbTh4Se8
Method: DFT, PBE-GGA
State: relaxed

a b c (Å): 8.3666 8.5503 8.3638
angles (deg): 119.26 120.01 90.00
Positions (direct):
La: 0.5000 0.5000 0.0000
La: 0.5000 0.5000 0.5000
La: 0.0000 0.5000 0.5000
Tb: 0.0000 0.5000 0.0000
Th: 0.5000 0.0000 0.0000
Th: 0.5000 0.0000 0.5000
Th: 0.0000 0.0000 0.0000
Th: 0.0000 0.0000 0.5000
Se: 0.2454 0.7479 0.0025
Se: 0.2454 0.7479 0.4908
Se: 0.2489 0.2466 0.4978
Se: 0.7571 0.7479 0.0025
Se: 0.2429 0.2521 0.9975
Se: 0.7511 0.7534 0.5022
Se: 0.7546 0.2521 0.5092
Se: 0.7546 0.2521 0.9975

Output
- uncorrected formation energy (eV/atom) = -1.7350
- total moment (μB/atom) = 0.00
- DOS at the Fermi energy (states/eV/atom) = 0.366
- energy (eV/cell) = -104.7

Please write out number 3 again, unchanged.
Material: La3TbTh4Se8
Method: DFT, PBE-GGA
State: relaxed

a b c (Å): 8.3666 8.5503 8.3638
angles (deg): 119.26 120.01 90.00
Positions (direct):
La: 0.5000 0.5000 0.0000
La: 0.5000 0.5000 0.5000
La: 0.0000 0.5000 0.5000
Tb: 0.0000 0.5000 0.0000
Th: 0.5000 0.0000 0.0000
Th: 0.5000 0.0000 0.5000
Th: 0.0000 0.0000 0.0000
Th: 0.0000 0.0000 0.5000
Se: 0.2454 0.7479 0.0025
Se: 0.2454 0.7479 0.4908
Se: 0.2489 0.2466 0.4978
Se: 0.7571 0.7479 0.0025
Se: 0.2429 0.2521 0.9975
Se: 0.7511 0.7534 0.5022
Se: 0.7546 0.2521 0.5092
Se: 0.7546 0.2521 0.9975

Output
- uncorrected formation energy (eV/atom) = -1.7350
- total moment (μB/atom) = 0.00
- DOS at the Fermi energy (states/eV/atom) = 0.366
- energy (eV/cell) = -104.7